No. 1
VASP calculation (PBE) on HfZnW3 after structural relaxation.

a b c (Å): 4.5854 4.5854 4.5854
angles (deg): 90.00 90.00 90.00
Fractional coordinates of all 5 atoms:
W 0.0000 0.0000 0.5000
W 0.5000 0.0000 0.0000
W 0.0000 0.5000 0.0000
Hf 0.5000 0.5000 0.5000
Zn 0.0000 0.0000 0.0000

Summary:
Its polymorph energy (0 for the lowest one) is 0.0 meV per atom.

=====

No. 2
VASP calculation (PBE) on ZnHF3 after structural relaxation.

a b c (Å): 3.4301 3.4301 3.4301
angles (deg): 90.00 90.00 90.00
Fractional coordinates of all 5 atoms:
H 0.0000 0.0000 0.0000
Zn 0.5000 0.5000 0.5000
F 0.0000 0.5000 0.0000
F 0.0000 0.0000 0.5000
F 0.5000 0.0000 0.0000

Summary:
Its polymorph energy (0 for the lowest one) is 792.9 meV per atom.

=====

No. 3
VASP calculation (PBE) on TlCd12 after structural relaxation.

a b c (Å): 6.0607 7.7973 7.7973
angles (deg): 81.31 67.13 67.13
Fractional coordinates of all 13 atoms:
Cd 0.0000 0.6477 0.3523
Cd 0.5000 0.0000 0.5000
Cd 0.5000 0.5000 0.0000
Cd 0.0000 0.0000 0.5000
Cd 0.2858 0.2142 0.2142
Cd 0.0000 0.3523 0.6477
Cd 0.0000 0.5000 0.0000
Cd 0.7142 0.7858 0.7858
Cd 0.3523 0.6477 0.6477
Cd 0.5000 0.2142 0.7858
Tl 0.0000 0.0000 0.0000
Cd 0.6477 0.3523 0.3523
Cd 0.5000 0.7858 0.2142

Summary:
Its polymorph energy (0 for the lowest one) is 0.0 meV per atom.

=====

No. 4
VASP calculation (PBE) on AgIrRu after structural relaxation.

a b c (Å): 5.0674 5.0674 5.0674
angles (deg): 148.27 136.14 55.14
Fractional coordinates of all 3 atoms:
Ru 0.6880 0.6880 0.0000
Ir 0.3123 0.3123 0.0000
Ag 0.9997 0.9997 0.0000

Summary:
Its polymorph energy (0 for the lowest one) is 148.5 meV per atom.

=====

No. 5
VASP calculation (PBE) on CsK3Cd4I12 after structural relaxation.

a b c (Å): 10.9593 10.9593 10.9593
angles (deg): 103.26 103.26 103.26
Fractional coordinates of all 20 atoms:
Cd 0.5000 0.5000 0.5000
I 0.7989 0.0527 0.6697
I 0.6697 0.7989 0.0527
I 0.3303 0.9473 0.2011
Cd 0.0527 0.5000 0.9473
I 0.1073 0.8927 0.5000
I 0.6588 0.5000 0.3412
I 0.5000 0.1073 0.8927
I 0.0527 0.6697 0.7989
K 0.4582 0.0000 0.5418
Cs 0.0000 0.0000 0.0000
I 0.8927 0.5000 0.1073
Cd 0.5000 0.9473 0.0527
I 0.5000 0.3412 0.6588
I 0.2011 0.3303 0.9473
I 0.9473 0.2011 0.3303
I 0.3412 0.6588 0.5000
K 0.0000 0.5418 0.4582
Cd 0.9473 0.0527 0.5000
K 0.5418 0.4582 0.0000

Summary:
The calculation puts the uncorrected formation energy at -18.091 eV/f.u.

=====

No. 6
VASP calculation (PBE) on NaAgW2 after structural relaxation.

a b c (Å): 7.9092 7.9092 6.1229
angles (deg): 49.77 49.77 90.00
Fractional coordinates of all 8 atoms:
Na 0.5000 0.5000 0.0000
W 0.0906 0.6250 0.2500
W 0.6594 0.1250 0.2500
Ag 0.7500 0.2500 0.5000
W 0.3750 0.3406 0.7500
Ag 0.0000 0.0000 0.0000
W 0.8750 0.9094 0.7500
Na 0.2500 0.7500 0.5000

Summary:
Its polymorph energy (0 for the lowest one) is 26.8 meV per atom.

=====

No. 7
VASP calculation (PBE) on Na2CeI8 after structural relaxation.

a b c (Å): 6.2259 10.1443 10.1443
angles (deg): 81.59 71.01 71.01
Fractional coordinates of all 11 atoms:
I 0.1657 0.2574 0.9239
I 0.7641 0.4865 0.4865
I 0.4296 0.7990 0.7990
I 0.8343 0.7426 0.0761
I 0.8343 0.0761 0.7426
I 0.1657 0.9239 0.2574
I 0.5704 0.2010 0.2010
Na 0.0152 0.2563 0.2563
Ce 0.0000 0.0000 0.0000
I 0.2359 0.5135 0.5135
Na 0.9848 0.7437 0.7437

Summary:
The calculation puts the uncorrected formation energy at -9.675 eV/f.u.

=====

No. 8
VASP calculation (PBE) on TcGeN after structural relaxation.

a b c (Å): 4.9426 2.8477 10.5805
angles (deg): 90.00 90.68 90.00
Fractional coordinates of all 12 atoms:
N 0.8102 0.0000 0.8941
Ge 0.4991 0.0000 0.7778
N 0.9881 0.5000 0.1333
N 0.9881 0.0000 0.6333
Tc 0.0423 0.5000 0.7974
Ge 0.2826 0.0000 0.5112
Tc 0.6883 0.5000 0.5912
Ge 0.4991 0.5000 0.2778
Tc 0.6883 0.0000 0.0912
Ge 0.2826 0.5000 0.0112
N 0.8102 0.5000 0.3941
Tc 0.0423 0.0000 0.2974

Summary:
Its polymorph energy (0 for the lowest one) is 132.1 meV per atom. The calculation puts the uncorrected formation energy at 0.264 eV/f.u.

=====

No. 9
VASP calculation (PBE) on Ac2Al3Cu12Ni after structural relaxation.

a b c (Å): 9.6726 9.6726 9.6726
angles (deg): 37.94 37.94 37.94
Fractional coordinates of all 18 atoms:
Cu 0.5810 0.1932 0.5810
Cu 0.9391 0.9391 0.3405
Cu 0.0609 0.6595 0.0609
Ac 0.6549 0.6549 0.6549
Cu 0.4190 0.4190 0.8068
Cu 0.1932 0.5810 0.5810
Al 0.0000 0.0000 0.5000
Al 0.5000 0.0000 0.0000
Cu 0.3405 0.9391 0.9391
Cu 0.9391 0.3405 0.9391
Ni 0.0000 0.0000 0.0000
Cu 0.5810 0.5810 0.1932
Cu 0.0609 0.0609 0.6595
Ac 0.3451 0.3451 0.3451
Al 0.0000 0.5000 0.0000
Cu 0.4190 0.8068 0.4190
Cu 0.8068 0.4190 0.4190
Cu 0.6595 0.0609 0.0609

Summary:
The calculated total energy comes out at -4.0486 eV per atom.

=====

No. 10
VASP calculation (PBE) on KTaAs2 after structural relaxation.

a b c (Å): 3.2743 3.2743 8.1458
angles (deg): 90.00 90.00 90.00
Fractional coordinates of all 4 atoms:
K 0.5000 0.5000 0.2500
As 0.0000 0.0000 0.9393
As 0.0000 0.0000 0.5607
Ta 0.5000 0.5000 0.7500

Summary:
Its polymorph energy (0 for the lowest one) is 112.5 meV per atom.

=====

No. 11
VASP calculation (PBE) on La2Ni3Ir after structural relaxation.

a b c (Å): 4.6081 5.1733 5.9573
angles (deg): 115.73 112.75 90.00
Fractional coordinates of all 6 atoms:
Ir 0.0000 0.5000 0.0000
Ni 0.0000 0.0000 0.0000
Ni 0.6182 0.6182 0.2365
Ni 0.3818 0.3818 0.7635
La 0.3126 0.8126 0.6251
La 0.6874 0.1874 0.3749

Summary:
Its polymorph energy (0 for the lowest one) is 320.0 meV per atom.

=====

No. 12
VASP calculation (PBE) on Tb5Pt2O12 after structural relaxation.

a b c (Å): 6.0037 6.9416 7.2809
angles (deg): 105.38 90.00 115.62
Fractional coordinates of all 19 atoms:
O 0.9027 0.3033 0.5730
Tb 0.0000 0.0000 0.5000
O 0.0973 0.6967 0.4270
O 0.5001 0.0002 0.1873
O 0.4326 0.3355 0.0860
Tb 0.6946 0.3892 0.8338
O 0.9998 0.9996 0.1824
Tb 0.2988 0.5977 0.6392
Tb 0.7012 0.4023 0.3608
O 0.9029 0.3355 0.0860
O 0.4999 0.9998 0.8127
Tb 0.3054 0.6108 0.1662
O 0.5995 0.6967 0.4270
O 0.0971 0.6645 0.9140
O 0.0002 0.0004 0.8176
O 0.5674 0.6645 0.9140
Pt 0.2480 0.0000 0.0000
Pt 0.7520 0.0000 0.0000
O 0.4005 0.3033 0.5730

Summary:
The calculation puts the uncorrected formation energy at -48.420 eV/f.u.

=====

No. 13
VASP calculation (PBE) on Tc2SbPt after structural relaxation.

a b c (Å): 4.8030 4.8030 5.1675
angles (deg): 75.82 75.82 35.53
Fractional coordinates of all 4 atoms:
Tc 0.9932 0.9932 0.9666
Tc 0.5068 0.5068 0.5334
Pt 0.7500 0.7500 0.7500
Sb 0.2500 0.2500 0.2500

Summary:
The calculation puts the uncorrected formation energy at 0.620 eV/f.u.

=====

No. 14
VASP calculation (PBE) on TbNdIrCl after structural relaxation.

a b c (Å): 4.0704 4.0692 7.9522
angles (deg): 90.00 104.83 120.01
Fractional coordinates of all 4 atoms:
Tb 0.1024 0.9489 0.0672
Nd 0.5049 0.1502 0.6707
Ir 0.3085 0.5520 0.8763
Cl 0.9621 0.3798 0.3555

Summary:
The calculation puts the uncorrected formation energy at -4.684 eV/f.u.

=====

No. 15
VASP calculation (PBE) on La2V2Os after structural relaxation.

a b c (Å): 5.6213 5.6213 4.7014
angles (deg): 90.00 90.00 90.00
Each line ends with the local moment (μB).
Fractional coordinates of all 5 atoms:
La 0.5000 0.0000 0.0000  0.09
V 0.0000 0.0000 0.5000  1.96
La 0.0000 0.5000 0.0000  0.09
V 0.5000 0.5000 0.5000  2.92
Os 0.0000 0.0000 0.0000  -0.11

Summary:
Its polymorph energy (0 for the lowest one) is 436.4 meV per atom.

=====

No. 16
VASP calculation (PBE) on Ce2Ge7Au12 after structural relaxation.

a b c (Å): 4.7432 10.1699 10.1699
angles (deg): 120.00 90.00 90.00
Each line ends with the local moment (μB).
Fractional coordinates of all 21 atoms:
Ge 0.5000 0.0000 0.0000  0.01
Ge 0.3350 0.3884 0.1121  0.00
Au 0.7769 0.5404 0.6091  0.00
Au 0.8227 0.2645 0.1388  0.00
Au 0.2231 0.6091 0.0687  0.00
Ge 0.3350 0.8879 0.2764  0.00
Au 0.2231 0.4596 0.3909  0.00
Au 0.2231 0.9313 0.5404  0.00
Ce 0.7718 0.6667 0.3333  0.91
Ge 0.6650 0.1121 0.7236  0.00
Au 0.8227 0.8743 0.7355  0.00
Ce 0.2282 0.3333 0.6667  0.91
Au 0.1773 0.7355 0.8612  0.00
Au 0.7769 0.3909 0.9313  0.00
Ge 0.3350 0.7236 0.6116  0.00
Ge 0.6650 0.6116 0.8879  0.00
Au 0.1773 0.1388 0.8743  0.00
Au 0.1773 0.1257 0.2645  0.00
Au 0.7769 0.0687 0.4596  0.00
Ge 0.6650 0.2764 0.3884  0.00
Au 0.8227 0.8612 0.1257  0.00

Summary:
The calculated total energy comes out at -4.1945 eV per atom.

=====

No. 17
VASP calculation (PBE) on Sc2TlCoB after structural relaxation.

a b c (Å): 4.7398 4.7398 3.8360
angles (deg): 90.00 90.00 90.00
Fractional coordinates of all 5 atoms:
Tl 0.5000 0.5000 0.5000
B 0.0000 0.0000 0.0000
Sc 0.5000 0.0000 0.0000
Sc 0.0000 0.5000 0.0000
Co 0.0000 0.0000 0.5000

Summary:
The calculated total energy comes out at -6.0452 eV per atom.

=====

No. 18
VASP calculation (PBE) on Cd6Sn2Hg3 after structural relaxation.

a b c (Å): 10.2465 5.7940 9.6140
angles (deg): 104.10 90.00 90.00
Fractional coordinates of all 22 atoms:
Sn 0.9801 0.7818 0.5790
Sn 0.0199 0.2182 0.4210
Cd 0.2209 0.8919 0.7917
Cd 0.2303 0.3875 0.9692
Cd 0.7455 0.6103 0.3560
Cd 0.7546 0.1103 0.8560
Hg 0.5000 0.5000 0.5000
Hg 0.4856 0.0967 0.7123
Cd 0.2454 0.8897 0.1440
Sn 0.4801 0.7182 0.9210
Hg 0.0144 0.5967 0.2123
Hg 0.9856 0.4033 0.7877
Cd 0.2791 0.3919 0.2917
Cd 0.7303 0.1125 0.5308
Hg 0.0000 0.0000 0.0000
Sn 0.5199 0.2818 0.0790
Cd 0.2697 0.8875 0.4692
Hg 0.5144 0.9033 0.2877
Cd 0.7791 0.1081 0.2083
Cd 0.7697 0.6125 0.0308
Cd 0.7209 0.6081 0.7083
Cd 0.2545 0.3897 0.6440

Summary:
Its polymorph energy (0 for the lowest one) is 0.0 meV per atom.

=====

No. 19
VASP calculation (PBE) on Ti2Al2Ga3 after structural relaxation.

a b c (Å): 3.8683 6.1095 5.1900
angles (deg): 97.70 111.88 90.00
Fractional coordinates of all 7 atoms:
Ga 0.7184 0.1600 0.4368
Ti 0.4319 0.2710 0.8638
Ti 0.5681 0.7290 0.1362
Ga 0.0000 0.0000 0.0000
Ga 0.2816 0.8400 0.5632
Al 0.8601 0.5689 0.7203
Al 0.1399 0.4311 0.2797

Summary:
The calculated total energy comes out at -4.9485 eV per atom.

=====

No. 20
VASP calculation (PBE) on TaFe2N after structural relaxation.

a b c (Å): 5.2231 5.2231 5.3141
angles (deg): 60.56 60.56 90.00
Fractional coordinates of all 8 atoms:
Fe 0.8750 0.7595 0.7500
Fe 0.3750 0.4905 0.7500
Fe 0.5095 0.1250 0.2500
Ta 0.7500 0.2500 0.5000
Fe 0.2405 0.6250 0.2500
N 0.2500 0.7500 0.5000
Ta 0.0000 0.0000 0.0000
N 0.5000 0.5000 0.0000

Summary:
The calculation puts the uncorrected formation energy at 0.834 eV/f.u.

=====

No. 21
VASP calculation (PBE) on NdSc2Pt after structural relaxation.

a b c (Å): 4.4977 4.4977 6.3320
angles (deg): 69.20 69.20 60.00
Fractional coordinates of all 4 atoms:
Sc 0.7138 0.7138 0.8585
Pt 0.0000 0.0000 0.0000
Sc 0.2862 0.2862 0.1415
Nd 0.5000 0.5000 0.5000

Summary:
Its polymorph energy (0 for the lowest one) is 170.3 meV per atom.

=====

No. 22
VASP calculation (PBE) on K2Cu2Ge after structural relaxation.

a b c (Å): 6.5760 6.5760 5.5146
angles (deg): 90.00 90.00 90.00
Fractional coordinates of all 10 atoms:
K 0.8193 0.6807 0.5000
K 0.1807 0.3193 0.5000
Cu 0.8629 0.3629 0.0000
Cu 0.1371 0.6371 0.0000
Ge 0.5000 0.5000 0.0000
Cu 0.3629 0.1371 0.0000
K 0.6807 0.1807 0.5000
Ge 0.0000 0.0000 0.0000
Cu 0.6371 0.8629 0.0000
K 0.3193 0.8193 0.5000

Summary:
The calculated total energy comes out at -2.7757 eV per atom.